1.
The following is a PBE calculation of a relaxed structure of CsOs2RhO8, from the Alexandria database.

Unit cell a=5.275 b=5.275 c=9.430 alpha=90.00 beta=90.00 gamma=120.00
Sites, in units of the cell vectors:
O 0.337 0.306 0.374
O 0.969 0.663 0.374
O 0.333 0.667 0.886
O 0.694 0.031 0.374
O 0.031 0.337 0.626
O 0.306 0.969 0.626
O 0.667 0.333 0.114
O 0.663 0.694 0.626
Os 0.333 0.667 0.698
Os 0.667 0.333 0.302
Cs 0.000 0.000 0.000
Rh 0.000 0.000 0.500

## Properties
- DFT total energy: -82.00 eV/cell
- ΔE_f (raw): -0.97 eV per atom
- Volume: 18.941 Å³/atom
- Mass density: 5.44 g cm⁻³

---

2.
The following is a PBE calculation of a relaxed structure of CsOs2RuO8, from the Alexandria database.

Unit cell a=5.287 b=5.287 c=9.344 alpha=90.00 beta=90.00 gamma=120.00
Sites, in units of the cell vectors:
O 0.674 0.710 0.625
O 0.964 0.674 0.375
O 0.290 0.964 0.625
O 0.036 0.326 0.625
O 0.710 0.036 0.375
O 0.667 0.333 0.114
O 0.333 0.667 0.886
O 0.326 0.290 0.375
Cs 0.000 0.000 0.000
Os 0.333 0.667 0.696
Os 0.667 0.333 0.304
Ru 0.000 0.000 0.500

## Properties
- DFT total energy: -84.14 eV/cell
- ΔE_f (raw): -0.99 eV per atom
- Volume: 18.847 Å³/atom
- Mass density: 5.45 g cm⁻³